Sc5As4C | PBE-GGA | optimized geometry

- mass density (g/cm³) = 4.65
- magnetic moment (μB/f.u.) = 0.0
- raw total energy (eV/cell) = -70.15

Cell: 6.5329 6.5329 6.5329 Å, 99.92 99.92 130.97°
Fractional coordinates of all 10 atoms:
Sc 0.0000 0.0000 0.0000
Sc 0.2756 0.6340 0.8280
Sc 0.4476 0.2756 0.6417
Sc 0.6340 0.8060 0.3583
Sc 0.8060 0.4476 0.1720
As 0.1323 0.3487 0.3959
As 0.3487 0.9528 0.2164
As 0.7364 0.1323 0.7836
As 0.9528 0.7364 0.6041
C 0.5722 0.5722 0.0000

***

Sc4AsC | PBE-GGA | optimized geometry

- mass density (g/cm³) = 3.79
- magnetic moment (μB/f.u.) = 0.6
- raw total energy (eV/cell) = -86.08

Cell: 7.4321 7.4321 5.8484 Å, 106.73 106.73 118.69°
Fractional coordinates of all 12 atoms:
Sc 0.0623 0.6558 0.8459
Sc 0.1801 0.2747 0.7104
Sc 0.2747 0.1801 0.2104
Sc 0.3442 0.9377 0.6541
Sc 0.6558 0.0623 0.3459
Sc 0.7253 0.8199 0.7896
Sc 0.8199 0.7253 0.2896
Sc 0.9377 0.3442 0.1541
As 0.3845 0.6155 0.2500
As 0.6155 0.3845 0.7500
C 0.0635 0.9365 0.7500
C 0.9365 0.0635 0.2500

***

Sc8As2C3 | PBE-GGA | optimized geometry

- mass density (g/cm³) = 3.59
- magnetic moment (μB/f.u.) = 0.0
- raw total energy (eV/cell) = -96.54

Cell: 7.4467 7.4467 5.8887 Å, 105.61 105.61 54.23°
Fractional coordinates of all 13 atoms:
Sc 0.0927 0.0927 0.3998
Sc 0.1645 0.6374 0.1074
Sc 0.3626 0.8355 0.8926
Sc 0.4067 0.4067 0.5995
Sc 0.5933 0.5933 0.4005
Sc 0.6374 0.1645 0.1074
Sc 0.8355 0.3626 0.8926
Sc 0.9073 0.9073 0.6002
As 0.2436 0.2436 0.1771
As 0.7564 0.7564 0.8229
C 0.2449 0.7551 0.5000
C 0.5000 0.5000 0.0000
C 0.7551 0.2449 0.5000

***

ScAsC2 | PBE-GGA | optimized geometry

- mass density (g/cm³) = 4.55
- magnetic moment (μB/f.u.) = 0.0
- raw total energy (eV/cell) = -111.88

Cell: 5.3527 5.3527 7.3342 Å, 90.00 90.00 90.00°
Fractional coordinates of all 16 atoms:
Sc 0.0000 0.0000 0.0000
Sc 0.0000 0.5000 0.2500
Sc 0.5000 0.0000 0.7500
Sc 0.5000 0.5000 0.5000
As 0.0000 0.0000 0.5000
As 0.0000 0.5000 0.7500
As 0.5000 0.0000 0.2500
As 0.5000 0.5000 0.0000
C 0.1988 0.2500 0.6250
C 0.2500 0.6988 0.8750
C 0.2500 0.8012 0.3750
C 0.3012 0.2500 0.1250
C 0.6988 0.7500 0.1250
C 0.7500 0.1988 0.3750
C 0.7500 0.3012 0.8750
C 0.8012 0.7500 0.6250

***

Sc2AsC | PBE-GGA | optimized geometry

- mass density (g/cm³) = 4.58
- magnetic moment (μB/f.u.) = 0.0
- raw total energy (eV/cell) = -105.86

Cell: 6.3524 6.3524 6.3524 Å, 90.00 90.00 90.00°
Fractional coordinates of all 16 atoms:
Sc 0.2500 0.2500 0.2500
Sc 0.2500 0.2500 0.7500
Sc 0.2500 0.7500 0.2500
Sc 0.2500 0.7500 0.7500
Sc 0.7500 0.2500 0.2500
Sc 0.7500 0.2500 0.7500
Sc 0.7500 0.7500 0.2500
Sc 0.7500 0.7500 0.7500
As 0.0000 0.0000 0.0000
As 0.0000 0.5000 0.5000
As 0.5000 0.0000 0.5000
As 0.5000 0.5000 0.0000
C 0.0000 0.0000 0.5000
C 0.0000 0.5000 0.0000
C 0.5000 0.0000 0.0000
C 0.5000 0.5000 0.5000

***

ScAs3C | PBE-GGA | optimized geometry

- offset from the most stable computed form (meV/atom) = 1072
- mass density (g/cm³) = 3.59
- magnetic moment (μB/f.u.) = 1.7

Cell: 5.0688 5.0688 5.0688 Å, 90.00 90.00 90.00°
Fractional coordinates of all 5 atoms:
Sc 0.0000 0.0000 0.0000
As 0.0000 0.0000 0.5000
As 0.0000 0.5000 0.0000
As 0.5000 0.0000 0.0000
C 0.5000 0.5000 0.5000

***

Sc2AsC | PBE-GGA | optimized geometry

- mass density (g/cm³) = 2.90
- magnetic moment (μB/f.u.) = 1.0
- raw total energy (eV/cell) = -77.07

Cell: 4.1150 4.1150 20.6825 Å, 90.00 90.00 120.00°
Fractional coordinates of all 12 atoms:
Sc 0.0000 0.0000 0.0979
Sc 0.0000 0.0000 0.9021
Sc 0.3333 0.6667 0.5688
Sc 0.3333 0.6667 0.7646
Sc 0.6667 0.3333 0.2354
Sc 0.6667 0.3333 0.4312
As 0.0000 0.0000 0.5000
As 0.3333 0.6667 0.1667
As 0.6667 0.3333 0.8333
C 0.0000 0.0000 0.0000
C 0.3333 0.6667 0.6667
C 0.6667 0.3333 0.3333

***

Sc6AsC2Se3 | PBE-GGA | optimized geometry

- mass density (g/cm³) = 4.68
- magnetic moment (μB/f.u.) = 0.0
- raw total energy (eV/cell) = -86.87

Cell: 8.3324 8.3324 7.5423 Å, 104.46 104.46 25.14°
Fractional coordinates of all 12 atoms:
Sc 0.0245 0.0245 0.2604
Sc 0.3192 0.3192 0.4417
Sc 0.3282 0.3282 0.8691
Sc 0.6718 0.6718 0.1309
Sc 0.6808 0.6808 0.5583
Sc 0.9755 0.9755 0.7396
As 0.5000 0.5000 0.0000
C 0.1712 0.1712 0.3401
C 0.8288 0.8288 0.6599
Se 0.1613 0.1613 0.8324
Se 0.5000 0.5000 0.5000
Se 0.8387 0.8387 0.1676